[1]
A plane-wave DFT calculation with PBE-GGA was carried out for a relaxed structure of CsBi3Se.

```
CsBi3Se
1.0
5.818 0.000 0.000
0.000 5.818 0.000
0.000 0.000 5.818
Cs Bi Se
1 3 1
Direct
0.000 0.000 0.000
0.000 0.500 0.500
0.500 0.000 0.500
0.500 0.500 0.000
0.500 0.500 0.500
```

As for the raw formation energy: 15.5 kJ/mol of atoms. The value obtained for the density is 7.1 g/cm3. The value obtained for the raw total energy is -3.04 eV per atom.

[2]
A plane-wave DFT calculation with PBE-GGA was carried out for a relaxed structure of ScTlAgH2.

```
ScTlAgH2
1.0
3.956 0.000 0.000
0.000 3.956 0.000
0.000 0.000 5.947
Sc Tl Ag H
1 1 1 2
Direct
0.000 0.000 0.000
0.500 0.500 0.500
0.000 0.000 0.500
0.000 0.500 0.000
0.500 0.000 0.000
```

The value obtained for the density is 6.4 g/cm3. The value obtained for the raw total energy is -3.58 eV per atom.

[3]
A plane-wave DFT calculation with PBE-GGA was carried out for a relaxed structure of LiSm3Ho3S8.

```
LiSm3Ho3S8
1.0
3.911 2.258 6.434
-3.911 2.258 6.434
0.000 -4.517 6.434
Li Sm Ho S
1 3 3 8
Direct
0.000 0.000 0.000
0.000 0.000 0.500
0.000 0.500 0.000
0.500 0.000 0.000
0.000 0.500 0.500
0.500 0.000 0.500
0.500 0.500 0.000
0.245 0.245 0.749
0.245 0.749 0.245
0.251 0.755 0.755
0.253 0.253 0.253
0.747 0.747 0.747
0.749 0.245 0.245
0.755 0.251 0.755
0.755 0.755 0.251
```

As for the raw formation energy: -192.3 kJ/mol of atoms. The value obtained for the density is 5.9 g/cm3. The value obtained for the raw total energy is -6.18 eV per atom.

[4]
A plane-wave DFT calculation with PBE-GGA was carried out for a relaxed structure of ZnCd2InAg5.

```
ZnCd2InAg5
1.0
1.491 -8.597 0.000
1.491 8.597 0.000
0.000 0.000 13.538
Zn Cd In Ag
2 4 2 10
Direct
0.223 0.777 0.500
0.777 0.223 0.000
0.368 0.632 0.164
0.379 0.621 0.841
0.621 0.379 0.341
0.632 0.368 0.664
0.116 0.884 0.990
0.884 0.116 0.490
0.032 0.968 0.809
0.055 0.945 0.504
0.200 0.800 0.171
0.213 0.787 0.825
0.456 0.544 0.650
0.544 0.456 0.150
0.787 0.213 0.325
0.800 0.200 0.671
0.945 0.055 0.004
0.968 0.032 0.309
```

The value obtained for the density is 9.0 g/cm3. The value obtained for the raw total energy is -2.21 eV per atom. The formation energy from the elements comes out at 0.020 eV per atom.

[5]
A plane-wave DFT calculation with PBE-GGA was carried out for a relaxed structure of Pu2NbS6.

```
Pu2NbS6
1.0
6.203 0.000 0.000
0.000 6.203 0.000
0.000 0.000 11.613
Pu Nb S
4 2 12
Direct
0.000 0.000 0.172
0.000 0.000 0.828
0.500 0.500 0.328
0.500 0.500 0.672
0.000 0.000 0.500
0.500 0.500 0.000
0.194 0.194 0.349
0.194 0.194 0.651
0.208 0.208 0.000
0.292 0.708 0.500
0.306 0.694 0.151
0.306 0.694 0.849
0.694 0.306 0.151
0.694 0.306 0.849
0.708 0.292 0.500
0.792 0.792 0.000
0.806 0.806 0.349
0.806 0.806 0.651
```

As for the raw formation energy: -109.7 kJ/mol of atoms. The value obtained for the density is 5.7 g/cm3. The value obtained for the raw total energy is -8.19 eV per atom.

[6]
A plane-wave DFT calculation with PBE-GGA was carried out for a relaxed structure of PaGa3Ir.

```
PaGa3Ir
1.0
5.655 0.000 0.000
0.000 5.881 0.000
0.000 0.000 5.855
Pa Ga Ir
2 6 2
Direct
0.000 0.248 0.000
0.500 0.752 0.500
0.000 0.614 0.358
0.249 0.246 0.487
0.251 0.754 0.987
0.500 0.386 0.858
0.749 0.754 0.987
0.751 0.246 0.487
0.000 0.924 0.667
0.500 0.076 0.167
```

The value obtained for the density is 10.8 g/cm3. The value obtained for the raw total energy is -5.89 eV per atom. The formation energy from the elements comes out at -0.407 eV per atom.

Record order is preserved below.
Total moment: 0.0, 0.0, 0.0, 0.0, 9.0, 0.0 μB per formula unit